BaH2C2O5 | meta-GGA SCAN | single point on PBEsol structure

Computed properties:
D(E_F) in states/eV per atom: 0.00
Total energy in eV/cell: -229.6

Unit cell a=6.410 b=6.410 c=6.899 alpha=115.53 beta=115.53 gamma=75.46
Element x y z (fractional)
Ba: 0.220 0.220 0.322
Ba: 0.780 0.780 0.678
H: 0.342 0.557 0.172
H: 0.443 0.658 0.828
H: 0.557 0.342 0.172
H: 0.658 0.443 0.828
C: 0.037 0.237 0.762
C: 0.237 0.037 0.762
C: 0.763 0.963 0.238
C: 0.963 0.763 0.238
O: 0.012 0.356 0.647
O: 0.084 0.743 0.125
O: 0.257 0.916 0.875
O: 0.356 0.012 0.647
O: 0.473 0.473 0.263
O: 0.527 0.527 0.737
O: 0.644 0.988 0.353
O: 0.743 0.084 0.125
O: 0.916 0.257 0.875
O: 0.988 0.644 0.353



ZnFeIr | meta-GGA SCAN | single point on PBEsol structure

Computed properties:
D(E_F) in states/eV per atom: 0.78
Total energy in eV/cell: -103.0
ΔE to the lowest computed polymorph in eV/atom: 0.079

Unit cell a=5.599 b=5.599 c=5.599 alpha=152.23 beta=152.23 gamma=39.68
Element x y z (fractional)
Zn: 0.000 0.000 0.000
Fe: 0.666 0.666 0.000
Ir: 0.319 0.319 0.000



Zr2TaRu | meta-GGA SCAN | single point on PBEsol structure

Computed properties:
D(E_F) in states/eV per atom: 0.95
Total energy in eV/cell: -164.0
ΔE to the lowest computed polymorph in eV/atom: 0.011

Unit cell a=3.231 b=3.231 c=6.977 alpha=90.00 beta=90.00 gamma=90.00
Element x y z (fractional)
Zr: 0.000 0.000 0.231
Zr: 0.000 0.000 0.769
Ta: 0.500 0.500 0.500
Ru: 0.500 0.500 0.000



TePW2 | meta-GGA SCAN | single point on PBEsol structure

Computed properties:
D(E_F) in states/eV per atom: 0.76
Total energy in eV/cell: -184.8
Uncorrected formation energy in eV per atom: 0.559
ΔE to the lowest computed polymorph in eV/atom: 0.141

Unit cell a=7.902 b=7.902 c=7.902 alpha=22.96 beta=22.96 gamma=22.96
Element x y z (fractional)
Te: 0.000 0.000 0.000
P: 0.500 0.500 0.500
W: 0.239 0.239 0.239
W: 0.761 0.761 0.761



SiNi2Rh | meta-GGA SCAN | single point on PBEsol structure

Computed properties:
D(E_F) in states/eV per atom: 1.09
Total energy in eV/cell: -77.8
Uncorrected formation energy in eV per atom: -0.427

Unit cell a=4.783 b=4.783 c=4.783 alpha=146.76 beta=129.71 gamma=61.63
Element x y z (fractional)
Si: 0.000 0.000 0.000
Ni: 0.225 0.725 0.500
Ni: 0.775 0.275 0.500
Rh: 0.500 0.500 0.000



HgPW2 | meta-GGA SCAN | single point on PBEsol structure

Computed properties:
D(E_F) in states/eV per atom: 0.51
Total energy in eV/cell: -216.1
ΔE to the lowest computed polymorph in eV/atom: 0.000

Unit cell a=2.764 b=2.764 c=10.024 alpha=90.00 beta=90.00 gamma=108.89
Element x y z (fractional)
Hg: 0.000 0.000 0.000
P: 0.500 0.500 0.654
W: 0.000 0.000 0.465
W: 0.500 0.500 0.251